Material: MnAgSnRh
Method: DFT, GGA-PBE
State: relaxed

Cell: 6.4564 6.4564 6.4564 Å, 90.00 90.00 90.00°
Closest atoms and distances in Å follow each position.
Space group F-43m (No. 216)
Inequivalent atoms, fractional coordinates:
Mn1 0.0000 0.0000 0.0000 (multiplicity 4)  4 Ag 2.80, 4 Rh 2.80
Ag1 0.2500 0.2500 0.7500 (multiplicity 4)  4 Sn 2.80, 4 Mn 2.80
Sn1 0.0000 0.0000 0.5000 (multiplicity 4)  4 Rh 2.80, 4 Ag 2.80
Rh1 0.2500 0.2500 0.2500 (multiplicity 4)  4 Mn 2.80, 4 Sn 2.80

Results
* D(E_F): 0.596 states/eV/atom
* total magnetization: 16.1 Bohr magnetons per cell
* formation energy from the elements: -78 meV/atom
* mass density: 9.49 g/cm³